First-principles (PBE-GGA) data for a relaxed structure of YMnIn2Cu, as listed in the Alexandria database.

Cell and atoms, written as POSCAR:
```
YMnIn2Cu
1.0
4.973 0.000 0.000
0.000 4.690 0.000
0.000 0.000 4.973
Y Mn Cu In
1 1 1 2
Cartesian
2.486 2.345 2.486
0.000 0.000 0.000
0.000 2.345 0.000
0.000 0.000 2.486
2.486 0.000 0.000
```

E (Ry/atom): -0.3535
V (A^3/atom): 23.192
Formation energy from the elements (meV/atom): 231